## Ba2CaAc4 (PBE-GGA)

Data for crystalline Ba2CaAc4 at its relaxed geometry.

POSCAR file:
```
Ba2CaAc4
1.0
2.043 -20.890 0.000
2.043 20.890 0.000
0.000 0.000 4.036
Ba Ca Ac
2 1 4
direct
0.205 0.795 0.000
0.795 0.205 0.000
0.500 0.500 0.500
0.066 0.934 0.000
0.371 0.629 0.500
0.629 0.371 0.500
0.934 0.066 0.000
```

=====

## BaCa2Ac (PBE-GGA)

Data for crystalline BaCa2Ac at its relaxed geometry.

Calculated values
Distance to the lowest polymorph of the same formula ... 10 kJ/mol of formula units

POSCAR file:
```
BaCa2Ac
1.0
0.000 4.549 4.549
4.549 0.000 4.549
4.549 4.549 0.000
Ba Ca Ac
1 2 1
direct
0.000 0.000 0.000
0.250 0.250 0.250
0.750 0.750 0.750
0.500 0.500 0.500
```

=====

## BaCa3Ac2 (PBE-GGA)

Data for crystalline BaCa3Ac2 at its relaxed geometry.

POSCAR file:
```
BaCa3Ac2
1.0
8.008 0.000 0.000
-4.004 6.935 0.000
0.000 0.000 9.880
Ba Ca Ac
2 6 4
direct
0.333 0.667 0.338
0.667 0.333 0.662
0.164 0.328 0.673
0.164 0.836 0.673
0.328 0.164 0.327
0.672 0.836 0.673
0.836 0.164 0.327
0.836 0.672 0.327
0.000 0.000 0.000
0.000 0.500 0.000
0.500 0.000 0.000
0.500 0.500 0.000
```

=====

## Ba4Ca8Ac (PBE-GGA)

Data for crystalline Ba4Ca8Ac at its relaxed geometry.

POSCAR file:
```
Ba4Ca8Ac
1.0
5.602 -3.231 0.000
5.602 3.231 0.000
-3.710 0.000 17.083
Ba Ca Ac
4 8 1
direct
0.118 0.118 0.352
0.347 0.347 0.040
0.653 0.653 0.960
0.882 0.882 0.648
0.039 0.039 0.117
0.193 0.193 0.579
0.268 0.268 0.804
0.423 0.423 0.269
0.577 0.577 0.731
0.732 0.732 0.196
0.807 0.807 0.421
0.961 0.961 0.883
0.500 0.500 0.500
```

=====

## BaCa2Ac (PBE-GGA)

Data for crystalline BaCa2Ac at its relaxed geometry.

Calculated values
Distance to the lowest polymorph of the same formula ... 15 kJ/mol of formula units

POSCAR file:
```
BaCa2Ac
1.0
9.217 -2.016 0.000
9.217 2.016 0.000
-0.929 0.000 10.418
Ba Ca Ac
2 4 2
direct
0.136 0.136 0.449
0.864 0.864 0.551
0.232 0.232 0.824
0.454 0.454 0.248
0.546 0.546 0.752
0.768 0.768 0.176
0.094 0.094 0.069
0.906 0.906 0.931
```

=====

## BaCa4Ac5 (PBE-GGA)

Data for crystalline BaCa4Ac5 at its relaxed geometry.

POSCAR file:
```
BaCa4Ac5
1.0
12.380 -1.972 0.000
12.380 1.972 0.000
-0.450 0.000 9.563
Ba Ca Ac
1 4 5
direct
0.000 0.000 0.000
0.180 0.180 0.000
0.406 0.406 0.264
0.594 0.594 0.736
0.820 0.820 0.000
0.000 0.000 0.500
0.262 0.262 0.337
0.378 0.378 0.670
0.622 0.622 0.330
0.738 0.738 0.663
```

=====

## BaCa2Ac (PBE-GGA)

Data for crystalline BaCa2Ac at its relaxed geometry.

Calculated values
Distance to the lowest polymorph of the same formula ... 0 kJ/mol of formula units

POSCAR file:
```
BaCa2Ac
1.0
4.465 0.000 0.000
0.000 4.465 0.000
0.000 0.000 9.535
Ba Ca Ac
1 2 1
direct
0.000 0.000 0.000
0.500 0.500 0.268
0.500 0.500 0.732
0.000 0.000 0.500
```

=====

## BaCa6Ac8 (PBE-GGA)

Data for crystalline BaCa6Ac8 at its relaxed geometry.

POSCAR file:
```
BaCa6Ac8
1.0
11.321 0.000 0.000
-5.661 9.804 0.000
0.000 0.000 6.437
Ba Ca Ac
1 6 8
direct
0.000 0.000 0.000
0.158 0.705 0.000
0.295 0.453 0.000
0.453 0.158 0.000
0.547 0.842 0.000
0.705 0.547 0.000
0.842 0.295 0.000
0.024 0.340 0.500
0.315 0.976 0.500
0.333 0.667 0.500
0.340 0.315 0.500
0.660 0.685 0.500
0.667 0.333 0.500
0.685 0.024 0.500
0.976 0.660 0.500
```

=====

## BaCa5Ac4 (PBE-GGA)

Data for crystalline BaCa5Ac4 at its relaxed geometry.

POSCAR file:
```
BaCa5Ac4
1.0
3.930 0.000 0.000
0.000 3.930 0.000
0.000 0.000 29.044
Ba Ca Ac
1 5 4
direct
0.000 0.000 0.000
0.500 0.500 0.111
0.500 0.500 0.305
0.500 0.500 0.500
0.500 0.500 0.695
0.500 0.500 0.889
0.000 0.000 0.208
0.000 0.000 0.403
0.000 0.000 0.597
0.000 0.000 0.792
```

=====

## Ba2Ca5Ac (PBE-GGA)

Data for crystalline Ba2Ca5Ac at its relaxed geometry.

POSCAR file:
```
Ba2Ca5Ac
1.0
-3.182 3.182 9.310
3.182 -3.182 9.310
3.182 3.182 -9.310
Ba Ca Ac
2 5 1
direct
0.249 0.249 0.000
0.751 0.751 0.000
0.112 0.612 0.500
0.388 0.888 0.500
0.500 0.500 0.000
0.612 0.112 0.500
0.888 0.388 0.500
0.000 0.000 0.000
```

=====

## Ba2CaAc (PBE-GGA)

Data for crystalline Ba2CaAc at its relaxed geometry.

Calculated values
Distance to the lowest polymorph of the same formula ... 0 kJ/mol of formula units

POSCAR file:
```
Ba2CaAc
1.0
4.132 0.000 0.000
0.000 4.132 0.000
0.000 0.000 12.087
Ba Ca Ac
2 1 1
direct
0.000 0.000 0.249
0.000 0.000 0.751
0.500 0.500 0.500
0.500 0.500 0.000
```

=====

## Ba2Ca3Ac6 (PBE-GGA)

Data for crystalline Ba2Ca3Ac6 at its relaxed geometry.

POSCAR file:
```
Ba2Ca3Ac6
1.0
10.457 0.000 0.000
-5.229 9.056 0.000
0.000 0.000 6.044
Ba Ca Ac
2 3 6
direct
0.333 0.667 0.000
0.667 0.333 0.000
0.000 0.572 0.500
0.428 0.428 0.500
0.572 0.000 0.500
0.000 0.222 0.500
0.000 0.787 0.000
0.213 0.213 0.000
0.222 0.000 0.500
0.778 0.778 0.500
0.787 0.000 0.000
```

=====

no.,DOS at the Fermi energy (states/eV/f.u.),DFT formation energy (eV per atom)
1,9.05,0.05
2,5.13,0.07
3,9.66,0.05
4,19.54,0.04
5,6.01,0.08
6,15.85,0.14
7,5.29,0.04
8,19.14,0.17
9,15.68,0.06
10,9.26,0.03
11,5.93,0.07
12,19.51,0.27